# Tc2As8Ru

A geometry-optimized Tc2As8Ru structure (PBE, the Alexandria database).

a b c (Å): 12.3095 7.2863 4.6114
angles (deg): 90.00 97.77 90.00
Closest atoms and distances in Å follow each position.
Space group C2/m (No. 12)
Inequivalent atoms, fractional coordinates:
Tc 0.2386 0.0000 0.3826 x4  7 As 2.45-2.68
As 0.0930 0.5000 0.8449 x4  1 Tc 2.45, 2 As 2.70
As 0.1157 0.2744 0.3148 x8  2 Tc 2.50-2.68, 1 Ru 2.66, 1 As 2.70
As 0.1604 0.0000 0.8647 x4  1 Ru 2.41, 2 Tc 2.45-2.54
Ru 0.0000 0.0000 0.5000 x2  6 As 2.41-2.66

energy of formation from the pure elements	0.099	eV per atom
mass density	7.3	g cm⁻³